[1]
A relaxed structure of Cs3RbNa8, computed with PBE-GGA.

## Properties
**Space-group type**: P3m1, No. 156
**Theoretical density**: 1.7 g/cm3
**Raw total energy**: -1.1689 eV/atom
**Total moment**: 0.0 μB/cell
**Calculated formation energy**: 0.005 eV per atom

Cell lengths 7.7249, 7.7249, 12.8424 Å; angles 90.00, 90.00, 120.00 degrees
Fractional coordinates of all 12 atoms:
Cs 0.0000 0.0000 0.0000
Cs 0.0000 0.0000 0.3775
Cs 0.3333 0.6667 0.8724
Rb 0.3333 0.6667 0.5000
Na 0.3368 0.1684 0.6847
Na 0.5010 0.0019 0.1901
Na 0.5010 0.4990 0.1901
Na 0.6667 0.3333 0.4388
Na 0.6667 0.3333 0.9384
Na 0.8316 0.1684 0.6847
Na 0.8316 0.6632 0.6847
Na 0.9981 0.4990 0.1901

***

[2]
A relaxed structure of CsRbNa3, computed with PBE-GGA.

## Properties
**Space-group type**: Pm-3m, No. 221
**Theoretical density**: 1.2 g/cm3
**Raw total energy**: -0.8144 eV/atom
**Total moment**: 0.0 μB/cell
**Calculated formation energy**: 0.341 eV per atom

Cell lengths 7.4140, 7.4140, 7.4140 Å; angles 90.00, 90.00, 90.00 degrees
Fractional coordinates of all 5 atoms:
Cs 0.0000 0.0000 0.0000
Rb 0.5000 0.5000 0.5000
Na 0.0000 0.0000 0.5000
Na 0.0000 0.5000 0.0000
Na 0.5000 0.0000 0.0000

***

[3]
A relaxed structure of CsRb5Na6, computed with PBE-GGA.

## Properties
**Space-group type**: P2/m, No. 10
**Theoretical density**: 1.5 g/cm3
**Raw total energy**: -1.0954 eV/atom
**Total moment**: 0.0 μB/cell
**Calculated formation energy**: 0.038 eV per atom

Cell lengths 7.0989, 9.9360, 11.2666 Å; angles 90.00, 108.24, 90.00 degrees
Fractional coordinates of all 12 atoms:
Cs 0.0000 0.0000 0.0000
Rb 0.0000 0.5000 0.0000
Rb 0.3326 0.0000 0.6653
Rb 0.3350 0.5000 0.6701
Rb 0.6650 0.5000 0.3299
Rb 0.6674 0.0000 0.3347
Na 0.1696 0.2576 0.3392
Na 0.1696 0.7424 0.3392
Na 0.5000 0.2573 0.0000
Na 0.5000 0.7427 0.0000
Na 0.8304 0.2576 0.6608
Na 0.8304 0.7424 0.6608

***

[4]
A relaxed structure of Cs3Rb2Na2, computed with PBE-GGA.

## Properties
**Space-group type**: P-1, No. 2
**Theoretical density**: 1.8 g/cm3
**Raw total energy**: -0.9937 eV/atom
**Total moment**: 0.0 μB/cell
**Calculated formation energy**: 0.025 eV per atom

Cell lengths 7.3227, 8.6631, 10.0058 Å; angles 92.13, 90.21, 114.16 degrees
Fractional coordinates of all 7 atoms:
Cs 0.0000 0.0000 0.0000
Cs 0.2991 0.5994 0.7996
Cs 0.7009 0.4006 0.2004
Rb 0.3880 0.7805 0.3328
Rb 0.6120 0.2195 0.6672
Na 0.1040 0.2029 0.4269
Na 0.8960 0.7971 0.5731